No. 1
An optimized crystal structure of SmY2Tm6Sc, computed with PBE. Values from VASP.

The structure in Quantum ESPRESSO input format:
```
&SYSTEM
  ibrav = 0, nat = 20, ntyp = 4
/
ATOMIC_SPECIES
Tm 168.93 Tm.upf
Y 88.91 Y.upf
Sc 44.96 Sc.upf
Sm 150.36 Sm.upf
ATOMIC_POSITIONS crystal
Tm 0.412 0.536 0.268
Tm 0.200 0.537 0.958
Y 0.560 0.211 0.318
Tm 0.588 0.464 0.732
Tm 0.088 0.732 0.464
Tm 0.800 0.463 0.042
Tm 0.912 0.268 0.536
Sc 0.750 0.560 0.440
Y 0.060 0.318 0.211
Sm 0.750 0.040 0.960
Sm 0.250 0.960 0.040
Tm 0.557 0.787 0.121
Tm 0.943 0.879 0.213
Tm 0.057 0.121 0.787
Y 0.940 0.682 0.789
Tm 0.700 0.958 0.537
Tm 0.443 0.213 0.879
Tm 0.300 0.042 0.463
Y 0.440 0.789 0.682
Sc 0.250 0.440 0.560
CELL_PARAMETERS angstrom
8.327 -1.527 -1.584
1.067 8.687 -2.144
1.067 -2.465 8.601
```

As for the space-group type: C2/c.

No. 2
An optimized crystal structure of Sm2Y6TmSc, computed with PBE. Values from VASP.

The structure in Quantum ESPRESSO input format:
```
&SYSTEM
  ibrav = 0, nat = 20, ntyp = 4
/
ATOMIC_SPECIES
Y 88.91 Y.upf
Sm 150.36 Sm.upf
Tm 168.93 Tm.upf
Sc 44.96 Sc.upf
ATOMIC_POSITIONS crystal
Y 0.091 0.736 0.471
Sm 0.051 0.316 0.211
Tm 0.750 0.032 0.968
Sm 0.949 0.684 0.789
Y 0.706 0.950 0.540
Y 0.051 0.130 0.795
Sm 0.449 0.789 0.684
Y 0.206 0.540 0.950
Y 0.949 0.870 0.205
Sc 0.750 0.554 0.446
Y 0.294 0.050 0.460
Y 0.449 0.205 0.870
Y 0.409 0.529 0.264
Y 0.909 0.264 0.529
Sm 0.551 0.211 0.316
Sc 0.250 0.446 0.554
Y 0.551 0.795 0.130
Y 0.794 0.460 0.050
Y 0.591 0.471 0.736
Tm 0.250 0.968 0.032
CELL_PARAMETERS angstrom
8.408 -1.617 -1.678
0.994 8.861 -2.293
0.994 -2.619 8.770
```

As for the space-group type: C2/c.

Total magnetic moment / μB/cell: 0.0, 0.0
E_form / eV/f.u.: 1.3, 1.2